VCdSnO5 | PBE+U | relaxed

Computed properties:
Raw total energy   -6.21 eV per atom

Lattice parameters (Å, degrees): 6.710 9.265 7.499 90.00 112.09 90.00
Space group C2/c (No. 15)
Inequivalent atoms, fractional coordinates:
V (0.000, 0.178, 0.250) x4
Cd (0.000, 0.168, 0.750) x4
Sn (0.000, 0.500, 0.000) x4
O (0.000, 0.410, 0.750) x4
O (0.124, 0.302, 0.131) x8
O (0.175, 0.056, 0.430) x8